No. 1
Computed, not measured: a geometry-optimized CsBa3Hf structure at the PBE-GGA level of DFT.

Lattice parameters (Å, degrees): 6.7494 6.7494 6.7494 90.00 90.00 90.00
Closest atoms and distances in Å follow each position.
Fractional positions:
Ba  0.5000  0.0000  0.0000  2 Hf 3.37
Ba  0.0000  0.0000  0.5000  2 Hf 3.37
Ba  0.0000  0.5000  0.0000  2 Hf 3.37
Hf  0.0000  0.0000  0.0000  6 Ba 3.37
Cs  0.5000  0.5000  0.5000  12 Ba 4.77

Calculated values
As for the crystal system: cubic. Its formation energy is 3.31 eV per formula unit.

***

No. 2
Computed, not measured: a geometry-optimized Cs2BaHfI6 structure at the PBE-GGA level of DFT.

Lattice parameters (Å, degrees): 8.8982 8.8982 8.8977 60.00 60.00 90.00
Closest atoms and distances in Å follow each position.
Fractional positions:
I  0.7679  0.7679  0.0000  1 Hf 2.92
I  0.2321  0.2321  0.5358  1 Hf 2.92
I  0.2321  0.2321  0.0000  1 Hf 2.92
I  0.7679  0.7679  0.4642  1 Hf 2.92
I  0.2321  0.7679  0.0000  1 Hf 2.92
I  0.7679  0.2321  0.0000  1 Hf 2.92
Cs  0.2500  0.7500  0.5000  12 I 4.45
Cs  0.7500  0.2500  0.5000  12 I 4.45
Ba  0.5000  0.5000  0.0000  6 I 3.37
Hf  0.0000  0.0000  0.0000  6 I 2.92

Calculated values
For the total energy, the calculation gives -34.70 eV/cell. As for the crystal system: cubic.

***

No. 3
Computed, not measured: a geometry-optimized CsBaHf2Ir structure at the PBE-GGA level of DFT.

Lattice parameters (Å, degrees): 5.4190 5.2147 5.4190 90.00 90.00 90.00
Closest atoms and distances in Å follow each position.
Fractional positions:
Ir  0.0000  0.5000  0.0000  2 Cs 2.61
Hf  0.5000  0.0000  0.0000  2 Cs 2.71
Hf  0.0000  0.0000  0.5000  2 Cs 2.71
Ba  0.5000  0.5000  0.5000  8 Hf 3.76, 4 Ir 3.83
Cs  0.0000  0.0000  0.0000  2 Ir 2.61, 4 Hf 2.71

Calculated values
As for the crystal system: tetragonal. Its formation energy is 9.77 eV per formula unit.

***

No. 4
Computed, not measured: a geometry-optimized CsBaHfIr2 structure at the PBE-GGA level of DFT.

Lattice parameters (Å, degrees): 5.1549 5.7732 5.1549 90.00 90.00 90.00
Closest atoms and distances in Å follow each position.
Fractional positions:
Hf  0.5000  0.5000  0.5000  4 Ba 3.65, 8 Ir 3.87
Cs  0.0000  0.0000  0.0000  4 Ir 2.58, 2 Ba 2.89
Ir  0.0000  0.0000  0.5000  2 Cs 2.58
Ir  0.5000  0.0000  0.0000  2 Cs 2.58
Ba  0.0000  0.5000  0.0000  2 Cs 2.89

Calculated values
As for the crystal system: tetragonal. Its formation energy is 11.27 eV per formula unit.

***

Repeat the second record exactly.
Computed, not measured: a geometry-optimized Cs2BaHfI6 structure at the PBE-GGA level of DFT.

Lattice parameters (Å, degrees): 8.8982 8.8982 8.8977 60.00 60.00 90.00
Closest atoms and distances in Å follow each position.
Fractional positions:
I  0.7679  0.7679  0.0000  1 Hf 2.92
I  0.2321  0.2321  0.5358  1 Hf 2.92
I  0.2321  0.2321  0.0000  1 Hf 2.92
I  0.7679  0.7679  0.4642  1 Hf 2.92
I  0.2321  0.7679  0.0000  1 Hf 2.92
I  0.7679  0.2321  0.0000  1 Hf 2.92
Cs  0.2500  0.7500  0.5000  12 I 4.45
Cs  0.7500  0.2500  0.5000  12 I 4.45
Ba  0.5000  0.5000  0.0000  6 I 3.37
Hf  0.0000  0.0000  0.0000  6 I 2.92

Calculated values
For the total energy, the calculation gives -34.70 eV/cell. As for the crystal system: cubic.